1.
UBiTe | Alexandria via LeMat-Bulk | PBE | relaxed; energy relative to the lowest polymorph listed for this composition = 0.180 eV per atom; space group = C2/m, No. 12; energy relative to the elements, uncorrected = -226.6 meV per atom
1.0
11.824 0.000 0.000
0.000 4.253 0.000
-5.483 0.000 6.887
U Bi Te
4 4 4
Direct
0.118 0.000 0.161
0.382 0.500 0.839
0.618 0.500 0.161
0.882 0.000 0.839
0.105 0.500 0.861
0.395 0.000 0.139
0.605 0.000 0.861
0.895 0.500 0.139
0.164 0.000 0.562
0.336 0.500 0.438
0.664 0.500 0.562
0.836 0.000 0.438

---

2.
UBi3Te6 | Alexandria via LeMat-Bulk | PBE | relaxed; space group = P2_1/m, No. 11; energy relative to the elements, uncorrected = -295.5 meV per atom
1.0
13.160 0.000 0.000
0.000 4.342 0.000
-4.206 0.000 12.582
U Bi Te
2 6 12
Direct
0.190 0.250 0.041
0.810 0.750 0.959
0.031 0.750 0.307
0.342 0.250 0.435
0.405 0.750 0.850
0.595 0.250 0.150
0.658 0.750 0.565
0.969 0.250 0.693
0.034 0.750 0.898
0.121 0.250 0.472
0.228 0.750 0.235
0.239 0.250 0.810
0.384 0.750 0.072
0.423 0.750 0.601
0.577 0.250 0.399
0.616 0.250 0.928
0.761 0.750 0.190
0.772 0.250 0.765
0.879 0.750 0.528
0.966 0.250 0.102

---

3.
UBiTe | Alexandria via LeMat-Bulk | PBE | relaxed; energy relative to the lowest polymorph listed for this composition = 0.415 eV per atom; space group = P-6m2, No. 187; energy relative to the elements, uncorrected = 7.6 meV per atom
1.0
5.198 0.000 0.000
-2.599 4.502 0.000
0.000 0.000 3.833
U Bi Te
1 1 1
Direct
0.000 0.000 0.000
0.333 0.667 0.500
0.667 0.333 0.000

---

4.
U3BiTe8 | Alexandria via LeMat-Bulk | PBE | relaxed; space group = P6_3mc, No. 186; energy relative to the elements, uncorrected = -462.5 meV per atom
1.0
8.800 0.000 0.000
-4.400 7.621 0.000
0.000 0.000 14.085
U Bi Te
6 2 16
Direct
0.166 0.333 0.000
0.166 0.834 0.000
0.333 0.166 0.500
0.667 0.834 0.000
0.834 0.166 0.500
0.834 0.667 0.500
0.333 0.667 0.238
0.667 0.333 0.738
0.000 0.000 0.121
0.000 0.000 0.621
0.002 0.501 0.621
0.162 0.323 0.384
0.162 0.838 0.384
0.323 0.162 0.884
0.333 0.667 0.879
0.499 0.501 0.621
0.499 0.998 0.621
0.501 0.002 0.121
0.501 0.499 0.121
0.667 0.333 0.379
0.677 0.838 0.384
0.838 0.162 0.884
0.838 0.677 0.884
0.998 0.499 0.121

---

5.
UBiTe | Alexandria via LeMat-Bulk | PBE | relaxed; energy relative to the lowest polymorph listed for this composition = 0.031 eV per atom; space group = I4/mmm, No. 139; energy relative to the elements, uncorrected = -376.2 meV per atom
1.0
4.434 0.000 0.000
0.000 4.434 0.000
0.000 0.000 18.309
U Bi Te
4 4 4
Direct
0.000 0.000 0.141
0.000 0.000 0.859
0.500 0.500 0.359
0.500 0.500 0.641
0.000 0.500 0.000
0.000 0.500 0.500
0.500 0.000 0.000
0.500 0.000 0.500
0.000 0.000 0.316
0.000 0.000 0.684
0.500 0.500 0.184
0.500 0.500 0.816

---

6.
UBiTe | Alexandria via LeMat-Bulk | PBE | relaxed; energy relative to the lowest polymorph listed for this composition = 0.000 eV per atom; space group = P4/nmm, No. 129; energy relative to the elements, uncorrected = -407.0 meV per atom
1.0
4.428 0.000 0.000
0.000 4.428 0.000
0.000 0.000 9.135
U Bi Te
2 2 2
Direct
0.250 0.250 0.216
0.750 0.750 0.784
0.250 0.750 0.500
0.750 0.250 0.500
0.250 0.250 0.865
0.750 0.750 0.135

---

7.
U2BiTe2 | Alexandria via LeMat-Bulk | PBE | relaxed; space group = P4/mmm, No. 123; energy relative to the elements, uncorrected = 499.8 meV per atom
1.0
3.093 0.000 0.000
0.000 3.093 0.000
0.000 0.000 17.227
U Bi Te
2 1 2
Direct
0.000 0.000 0.188
0.000 0.000 0.812
0.000 0.000 0.000
0.000 0.000 0.369
0.000 0.000 0.631

---

8.
UBiTe | Alexandria via LeMat-Bulk | PBE | relaxed; energy relative to the lowest polymorph listed for this composition = 0.176 eV per atom; space group = I4mm, No. 107; energy relative to the elements, uncorrected = -230.7 meV per atom
1.0
3.969 0.000 0.000
0.000 3.969 0.000
0.000 0.000 10.712
U Bi Te
2 2 2
Direct
0.000 0.000 0.000
0.500 0.500 0.500
0.000 0.000 0.332
0.500 0.500 0.832
0.000 0.000 0.640
0.500 0.500 0.140

---

9.
ZrUBiTe | Alexandria via LeMat-Bulk | PBE | relaxed; space group = F-43m, No. 216; energy relative to the elements, uncorrected = -263.3 meV per atom
1.0
7.378 0.000 0.000
0.000 7.378 0.000
0.000 0.000 7.378
Zr U Bi Te
4 4 4 4
Direct
0.000 0.000 0.000
0.000 0.500 0.500
0.500 0.000 0.500
0.500 0.500 0.000
0.000 0.000 0.500
0.000 0.500 0.000
0.500 0.000 0.000
0.500 0.500 0.500
0.250 0.250 0.750
0.250 0.750 0.250
0.750 0.250 0.250
0.750 0.750 0.750
0.250 0.250 0.250
0.250 0.750 0.750
0.750 0.250 0.750
0.750 0.750 0.250

---

10.
V5Bi3Te12 | Alexandria via LeMat-Bulk | PBE | relaxed; space group = Ia-3d, No. 230; energy relative to the elements, uncorrected = -81.1 meV per atom
1.0
-8.589 8.589 8.589
8.589 -8.589 8.589
8.589 8.589 -8.589
V Bi Te
20 12 48
Direct
0.000 0.000 0.000
0.000 0.000 0.500
0.000 0.500 0.000
0.000 0.500 0.500
0.125 0.750 0.875
0.125 0.875 0.250
0.250 0.125 0.875
0.250 0.625 0.375
0.375 0.250 0.625
0.375 0.625 0.750
0.500 0.000 0.000
0.500 0.000 0.500
0.500 0.500 0.000
0.500 0.500 0.500
0.625 0.375 0.250
0.625 0.750 0.375
0.750 0.375 0.625
0.750 0.875 0.125
0.875 0.125 0.750
0.875 0.250 0.125
0.125 0.250 0.375
0.125 0.375 0.750
0.250 0.375 0.125
0.250 0.875 0.625
0.375 0.125 0.250
0.375 0.750 0.125
0.625 0.250 0.875
0.625 0.875 0.750
0.750 0.125 0.375
0.750 0.625 0.875
0.875 0.625 0.250
0.875 0.750 0.625
0.026 0.203 0.120
0.026 0.323 0.906
0.083 0.703 0.677
0.083 0.880 0.406
0.094 0.620 0.417
0.094 0.974 0.677
0.120 0.026 0.203
0.120 0.594 0.917
0.177 0.203 0.583
0.177 0.474 0.594
0.203 0.120 0.026
0.203 0.583 0.177
0.297 0.323 0.917
0.297 0.474 0.380
0.323 0.906 0.026
0.323 0.917 0.297
0.380 0.297 0.474
0.380 0.583 0.906
0.406 0.083 0.880
0.406 0.823 0.526
0.417 0.094 0.620
0.417 0.823 0.797
0.474 0.380 0.297
0.474 0.594 0.177
0.526 0.406 0.823
0.526 0.620 0.703
0.583 0.177 0.203
0.583 0.906 0.380
0.594 0.177 0.474
0.594 0.917 0.120
0.620 0.417 0.094
0.620 0.703 0.526
0.677 0.083 0.703
0.677 0.094 0.974
0.703 0.526 0.620
0.703 0.677 0.083
0.797 0.417 0.823
0.797 0.880 0.974
0.823 0.526 0.406
0.823 0.797 0.417
0.880 0.406 0.083
0.880 0.974 0.797
0.906 0.026 0.323
0.906 0.380 0.583
0.917 0.120 0.594
0.917 0.297 0.323
0.974 0.677 0.094
0.974 0.797 0.880

---

11.
VBi3Te | Alexandria via LeMat-Bulk | PBE | relaxed; energy relative to the lowest polymorph listed for this composition = 0.000 eV per atom; space group = Pm-3m, No. 221; energy relative to the elements, uncorrected = 288.2 meV per atom
1.0
5.295 0.000 0.000
0.000 5.295 0.000
0.000 0.000 5.295
V Bi Te
1 3 1
Direct
0.000 0.000 0.000
0.000 0.000 0.500
0.000 0.500 0.000
0.500 0.000 0.000
0.500 0.500 0.500

---

12.
VBiTe3 | Alexandria via LeMat-Bulk | PBE | relaxed; energy relative to the lowest polymorph listed for this composition = 0.000 eV per atom; space group = P2_1/m, No. 11; energy relative to the elements, uncorrected = -91.0 meV per atom
1.0
6.154 0.000 0.000
0.000 6.699 0.000
-0.126 0.000 7.082
V Bi Te
2 2 6
Direct
0.006 0.250 0.484
0.994 0.750 0.516
0.182 0.750 0.145
0.818 0.250 0.855
0.189 0.250 0.129
0.300 0.003 0.636
0.300 0.497 0.636
0.700 0.503 0.364
0.700 0.997 0.364
0.811 0.750 0.871

---

13.
V2BiTe | Alexandria via LeMat-Bulk | PBE | relaxed; energy relative to the lowest polymorph listed for this composition = 0.114 eV per atom; space group = I-42d, No. 122; energy relative to the elements, uncorrected = 477.6 meV per atom
1.0
6.333 0.000 0.000
0.000 6.333 0.000
0.000 0.000 12.384
V Bi Te
8 4 4
Direct
0.241 0.250 0.125
0.250 0.741 0.375
0.250 0.759 0.875
0.259 0.250 0.625
0.741 0.750 0.625
0.750 0.241 0.875
0.750 0.259 0.375
0.759 0.750 0.125
0.000 0.000 0.500
0.000 0.500 0.750
0.500 0.000 0.250
0.500 0.500 0.000
0.000 0.000 0.000
0.000 0.500 0.250
0.500 0.000 0.750
0.500 0.500 0.500

---

14.
V2BiTe | Alexandria via LeMat-Bulk | PBE | relaxed; energy relative to the lowest polymorph listed for this composition = 0.000 eV per atom; space group = Fm-3m, No. 225; energy relative to the elements, uncorrected = 363.4 meV per atom
1.0
6.744 0.000 0.000
0.000 6.744 0.000
0.000 0.000 6.744
V Bi Te
8 4 4
Direct
0.250 0.250 0.250
0.250 0.250 0.750
0.250 0.750 0.250
0.250 0.750 0.750
0.750 0.250 0.250
0.750 0.250 0.750
0.750 0.750 0.250
0.750 0.750 0.750
0.000 0.000 0.000
0.000 0.500 0.500
0.500 0.000 0.500
0.500 0.500 0.000
0.000 0.000 0.500
0.000 0.500 0.000
0.500 0.000 0.000
0.500 0.500 0.500

---

15.
VBiTe3 | Alexandria via LeMat-Bulk | PBE | relaxed; energy relative to the lowest polymorph listed for this composition = 0.292 eV per atom; space group = Pm-3m, No. 221; energy relative to the elements, uncorrected = 201.0 meV per atom
1.0
5.282 0.000 0.000
0.000 5.282 0.000
0.000 0.000 5.282
V Bi Te
1 1 3
Direct
0.000 0.000 0.000
0.500 0.500 0.500
0.000 0.000 0.500
0.000 0.500 0.000
0.500 0.000 0.000

---

16.
VBiTe2 | Alexandria via LeMat-Bulk | PBE | relaxed; space group = R-3m, No. 166; energy relative to the elements, uncorrected = 555.1 meV per atom
1.0
3.287 0.000 0.000
-1.644 2.847 0.000
0.000 0.000 39.631
V Bi Te
3 3 6
Direct
0.000 0.000 0.000
0.333 0.667 0.667
0.667 0.333 0.333
0.000 0.000 0.500
0.333 0.667 0.167
0.667 0.333 0.833
0.000 0.000 0.068
0.000 0.000 0.932
0.333 0.667 0.599
0.333 0.667 0.734
0.667 0.333 0.266
0.667 0.333 0.401

---

17.
VBiTe2 | Alexandria via LeMat-Bulk | PBE | relaxed; space group = R-3m, No. 166; energy relative to the elements, uncorrected = -139.0 meV per atom
1.0
3.606 0.000 0.000
-1.803 3.123 0.000
0.000 0.000 29.272
V Bi Te
3 3 6
Direct
0.000 0.000 0.000
0.333 0.667 0.667
0.667 0.333 0.333
0.000 0.000 0.500
0.333 0.667 0.167
0.667 0.333 0.833
0.000 0.000 0.391
0.000 0.000 0.609
0.333 0.667 0.058
0.333 0.667 0.275
0.667 0.333 0.725
0.667 0.333 0.942

---

18.
VBiTe2 | Alexandria via LeMat-Bulk | PBE | relaxed; space group = I-42d, No. 122; energy relative to the elements, uncorrected = 134.6 meV per atom
1.0
7.955 0.000 0.000
0.000 7.955 0.000
0.000 0.000 7.286
V Bi Te
4 4 8
Direct
0.000 0.000 0.000
0.000 0.500 0.250
0.500 0.000 0.750
0.500 0.500 0.500
0.000 0.000 0.500
0.000 0.500 0.750
0.500 0.000 0.250
0.500 0.500 0.000
0.197 0.750 0.125
0.250 0.197 0.875
0.250 0.303 0.375
0.303 0.750 0.625
0.697 0.250 0.625
0.750 0.697 0.375
0.750 0.803 0.875
0.803 0.250 0.125

---

19.
V3BiTe | Alexandria via LeMat-Bulk | PBE | relaxed; energy relative to the lowest polymorph listed for this composition = 0.000 eV per atom; space group = Pm-3m, No. 221; energy relative to the elements, uncorrected = 968.6 meV per atom
1.0
5.102 0.000 0.000
0.000 5.102 0.000
0.000 0.000 5.102
V Bi Te
3 1 1
Direct
0.000 0.000 0.500
0.000 0.500 0.000
0.500 0.000 0.000
0.500 0.500 0.500
0.000 0.000 0.000

---

20.
Bi3TeW | Alexandria via LeMat-Bulk | PBE | relaxed; energy relative to the lowest polymorph listed for this composition = 1.220 eV per atom; space group = Pm-3m, No. 221; energy relative to the elements, uncorrected = 1809.2 meV per atom
1.0
5.758 0.000 0.000
0.000 5.758 0.000
0.000 0.000 5.758
Bi Te W
3 1 1
Direct
0.000 0.000 0.500
0.000 0.500 0.000
0.500 0.000 0.000
0.000 0.000 0.000
0.500 0.500 0.500

---

21.
BiTe2W | Alexandria via LeMat-Bulk | PBE | relaxed; space group = I-42d, No. 122; energy relative to the elements, uncorrected = 755.0 meV per atom
1.0
7.070 0.000 0.000
0.000 7.070 0.000
0.000 0.000 11.253
Bi Te W
4 8 4
Direct
0.000 0.000 0.000
0.000 0.500 0.250
0.500 0.000 0.750
0.500 0.500 0.500
0.185 0.250 0.625
0.250 0.685 0.875
0.250 0.815 0.375
0.315 0.250 0.125
0.685 0.750 0.125
0.750 0.185 0.375
0.750 0.315 0.875
0.815 0.750 0.625
0.000 0.000 0.500
0.000 0.500 0.750
0.500 0.000 0.250
0.500 0.500 0.000

---

22.
BiTeW2 | Alexandria via LeMat-Bulk | PBE | relaxed; energy relative to the lowest polymorph listed for this composition = 0.000 eV per atom; space group = Fm-3m, No. 225; energy relative to the elements, uncorrected = 1002.2 meV per atom
1.0
6.775 0.000 0.000
0.000 6.775 0.000
0.000 0.000 6.775
Bi Te W
4 4 8
Direct
0.000 0.000 0.000
0.000 0.500 0.500
0.500 0.000 0.500
0.500 0.500 0.000
0.000 0.000 0.500
0.000 0.500 0.000
0.500 0.000 0.000
0.500 0.500 0.500
0.250 0.250 0.250
0.250 0.250 0.750
0.250 0.750 0.250
0.250 0.750 0.750
0.750 0.250 0.250
0.750 0.250 0.750
0.750 0.750 0.250
0.750 0.750 0.750

---

| no. | final energy (eV for the cell shown) | theoretical density (Mg/m³) |
| --- | --- | --- |
| 1 | -76.0 | 11.02 |
| 2 | -89.5 | 7.53 |
| 3 | -18.3 | 10.64 |
| 4 | -136.9 | 6.83 |
| 5 | -77.8 | 10.60 |
| 6 | -39.1 | 10.65 |
| 7 | -30.2 | 9.48 |
| 8 | -38.0 | 11.31 |
| 9 | -111.6 | 11.01 |
| 10 | -386.2 | 6.32 |
| 11 | -22.5 | 9.01 |
| 12 | -45.8 | 7.31 |
| 13 | -93.4 | 5.86 |
| 14 | -95.2 | 9.50 |
| 15 | -21.4 | 7.24 |
| 16 | -51.2 | 6.92 |
| 17 | -59.5 | 7.79 |
| 18 | -75.0 | 7.42 |
| 19 | -29.5 | 6.12 |
| 20 | -18.7 | 8.16 |
| 21 | -80.4 | 7.65 |
| 22 | -115.7 | 15.04 |